Computed, not measured: crystalline MnIn2F8 at its relaxed geometry at the PBE+U level of DFT.

The total magnetic moment comes out at 0.455 μB per atom. The offset from the most stable computed form comes out at 0.0 meV/atom.

The space group is C2/m (No. 12) and the conventional cell measures 8.972, 6.793 and 5.240 Å, with angles of 90.00, 104.09 and 90.00 degrees. Symmetry generates all atoms from Mn at (0.000, 0.000, 0.000), In at (0.181, 0.500, 0.437), F at (0.063, 0.500, 0.746), F at (0.145, 0.193, 0.298) and F at (0.167, 0.000, 0.799).